Material: Tm5CdPt4
Method: DFT, PBE
State: optimized geometry

- Crystal system: tetragonal
- D(E_F): 0.647 states/eV per atom
- Energy of formation from the pure elements: -10.97 eV per formula unit

Cell lengths 3.468, 3.468, 17.882 Å; angles 90.00, 90.00, 90.00 degrees
Space group P4/mmm (No. 123)
One atom of each set of equivalent atoms:
1 Tm 0.000 0.000 0.000 x1
2 Tm 0.000 0.000 0.191 x2
3 Tm 0.000 0.000 0.381 x2
4 Cd 0.500 0.500 0.500 x1
5 Pt 0.500 0.500 0.097 x2
6 Pt 0.500 0.500 0.292 x2


Material: RbSnI2Cl
Method: DFT, PBE
State: optimized geometry

- Energy relative to the lowest polymorph listed for this composition: 0.00 eV per formula unit
- Crystal system: tetragonal
- Formation energy (no corrections): -1.055 eV/atom

Cell lengths 8.827, 8.827, 11.411 Å; angles 90.00, 90.00, 90.00 degrees
Space group I4cm (No. 108)
One atom of each set of equivalent atoms:
1 Rb 0.000 0.500 0.000 x4
2 Sn 0.000 0.000 0.261 x4
3 I 0.199 0.301 0.250 x8
4 Cl 0.000 0.000 0.487 x4


Material: BeGaAs3
Method: DFT, PBE
State: optimized geometry

- Energy relative to the lowest polymorph listed for this composition: 3.41 eV per formula unit
- Crystal system: cubic
- D(E_F): 0.920 states/eV per atom
- Energy of formation from the pure elements: 5.79 eV per formula unit

Cell lengths 4.872, 4.872, 4.872 Å; angles 90.00, 90.00, 90.00 degrees
Space group Pm-3m (No. 221)
One atom of each set of equivalent atoms:
1 Be 0.000 0.000 0.000 x1
2 Ga 0.500 0.500 0.500 x1
3 As 0.000 0.500 0.500 x3


Material: La6Cd5Ru
Method: DFT, PBE
State: optimized geometry

- Crystal system: monoclinic
- D(E_F): 0.939 states/eV per atom
- Energy of formation from the pure elements: -3.86 eV per formula unit

Cell lengths 17.104, 7.863, 5.432 Å; angles 90.00, 108.42, 90.00 degrees
Space group C2/m (No. 12)
One atom of each set of equivalent atoms:
1 La 0.000 0.222 0.000 x4
2 La 0.150 0.228 0.648 x8
3 Cd 0.000 0.500 0.500 x2
4 Cd 0.170 0.500 0.167 x4
5 Cd 0.191 0.000 0.189 x4
6 Ru 0.000 0.000 0.500 x2


Material: Cs2NpAg2Se6
Method: DFT, PBE
State: optimized geometry

- Crystal system: trigonal
- Formation energy (no corrections): -0.598 eV/atom
- D(E_F): 1.026 states/eV per atom

Cell lengths 8.0088, 8.0088, 20.4010 Å; angles 90.00, 90.00, 120.00 degrees
Space group R-3m (No. 166, hexagonal axes)
One atom of each set of equivalent atoms:
1 Cs 0.0000 0.0000 0.2374 x6
2 Np 0.0000 0.0000 0.0000 x3
3 Ag 0.0000 0.0000 0.4212 x6
4 Se 0.0311 0.5156 0.7473 x18


Material: SrPrCu10
Method: DFT, PBE
State: optimized geometry

- Crystal system: orthorhombic
- D(E_F): 0.501 states/eV per atom
- Energy of formation from the pure elements: -1.34 eV per formula unit

Cell lengths 4.036, 5.268, 9.017 Å; angles 90.00, 90.00, 90.00 degrees
Space group Pmmm (No. 47)
One atom of each set of equivalent atoms:
1 Sr 0.000 0.000 0.000 x1
2 Pr 0.000 0.500 0.500 x1
3 Cu 0.000 0.000 0.336 x2
4 Cu 0.000 0.500 0.169 x2
5 Cu 0.500 0.000 0.500 x1
6 Cu 0.500 0.254 0.256 x4
7 Cu 0.500 0.500 0.000 x1